Record 1
The following is a DFT calculation (PBE) of KBa2As after structural relaxation.

Calculated values
Total moment ... 0.00 μB/cell
ΔH_f (0 K) ... -655 meV per atom
Space-group type ... C2/m, No. 12

The structure in POSCAR format:
```
KBa2As
1.0
4.1265 -2.3814 0.0000
4.1265 2.3814 0.0000
-2.7378 0.0000 11.9497
K Ba As
1 2 1
direct
0.0000 0.0000 0.0000
0.2154 0.2154 0.6471
0.7846 0.7846 0.3529
0.5000 0.5000 0.5000
```

---

Record 2
The following is a DFT calculation (PBE) of KBa2As5 after structural relaxation.

Calculated values
Total moment ... 0.00 μB/cell
ΔH_f (0 K) ... -707 meV per atom
Space-group type ... Cm, No. 8

The structure in POSCAR format:
```
KBa2As5
1.0
5.3375 -11.8622 0.0000
5.3375 11.8622 0.0000
-0.0601 0.0000 11.6756
K Ba As
6 12 30
direct
0.0000 0.0000 0.0000
0.2506 0.5831 0.6246
0.2708 0.9424 0.1232
0.5831 0.2506 0.6246
0.6143 0.6143 0.1222
0.9424 0.2708 0.1232
0.0310 0.6992 0.8215
0.1581 0.1581 0.3067
0.1968 0.8579 0.4981
0.3338 0.6671 0.0049
0.3596 0.3596 0.8181
0.4931 0.8286 0.3195
0.5211 0.5211 0.4947
0.6671 0.3338 0.0049
0.6992 0.0310 0.8215
0.8286 0.4931 0.3195
0.8579 0.1968 0.4981
0.9230 0.9230 0.6283
0.0206 0.5776 0.0816
0.0289 0.2042 0.7532
0.0476 0.3846 0.8496
0.1466 0.4777 0.3505
0.1650 0.6606 0.2605
0.1659 0.2753 0.5708
0.2042 0.0289 0.7532
0.2532 0.3620 0.0804
0.2753 0.1659 0.5708
0.3334 0.5018 0.2606
0.3620 0.2532 0.0804
0.3631 0.8628 0.7608
0.3846 0.0476 0.8496
0.4777 0.1466 0.3505
0.5018 0.3334 0.2606
0.5071 0.9462 0.5822
0.5296 0.6931 0.7596
0.5776 0.0206 0.0816
0.6133 0.8348 0.5792
0.6606 0.1650 0.2605
0.6874 0.9144 0.0852
0.6931 0.5296 0.7596
0.7156 0.7156 0.8485
0.8104 0.8104 0.3526
0.8261 0.9952 0.2695
0.8348 0.6133 0.5792
0.8628 0.3631 0.7608
0.9144 0.6874 0.0852
0.9462 0.5071 0.5822
0.9952 0.8261 0.2695
```

---

Record 3
The following is a DFT calculation (PBE) of KBa2As after structural relaxation.

Calculated values
Total moment ... 0.00 μB/cell
ΔH_f (0 K) ... -530 meV per atom
Space-group type ... Imm2, No. 44

The structure in POSCAR format:
```
KBa2As
1.0
-2.1689 2.3416 11.1069
2.1689 -2.3416 11.1069
2.1689 2.3416 -11.1069
K Ba As
1 2 1
direct
0.0000 0.0000 0.0000
0.3357 0.3357 0.0000
0.6845 0.1845 0.5000
0.2302 0.7302 0.5000
```

---

Record 4
The following is a DFT calculation (PBE) of KBa2As after structural relaxation.

Calculated values
Total moment ... 0.18 μB/cell
ΔH_f (0 K) ... -457 meV per atom
Space-group type ... Immm, No. 71

The structure in POSCAR format:
```
KBa2As
1.0
-2.1734 3.1661 7.8332
2.1734 -3.1661 7.8332
2.1734 3.1661 -7.8332
K Ba As
1 2 1
direct
0.0000 0.0000 0.0000
0.3513 0.8513 0.5000
0.6487 0.1487 0.5000
0.5000 0.5000 0.0000
```

---

Record 5
The following is a DFT calculation (PBE) of K2BaAs after structural relaxation.

Calculated values
Total moment ... 0.00 μB/cell
ΔH_f (0 K) ... -229 meV per atom
Space-group type ... F-43m, No. 216

The structure in POSCAR format:
```
K2BaAs
1.0
0.0000 4.2365 4.2365
4.2365 0.0000 4.2365
4.2365 4.2365 0.0000
K Ba As
2 1 1
direct
0.0000 0.0000 0.0000
0.2500 0.2500 0.2500
0.7500 0.7500 0.7500
0.5000 0.5000 0.5000
```

---

Record 6
The following is a DFT calculation (PBE) of KBa2As2 after structural relaxation.

Calculated values
ΔE to the lowest computed polymorph ... 236 meV per atom
Total moment ... 0.00 μB/cell
ΔH_f (0 K) ... -558 meV per atom
Space-group type ... I4/mmm, No. 139

The structure in POSCAR format:
```
KBa2As2
1.0
-3.0265 3.0265 6.0491
3.0265 -3.0265 6.0491
3.0265 3.0265 -6.0491
K Ba As
1 2 2
direct
0.0000 0.0000 0.0000
0.3308 0.3308 0.0000
0.6692 0.6692 0.0000
0.2500 0.7500 0.5000
0.7500 0.2500 0.5000
```